Entry 1:
# SmGa2CuPd4

A relaxed structure of SmGa2CuPd4 (GGA-PBE, Alexandria).

Cell lengths 8.8463, 8.8463, 8.8463 Å; angles 28.29, 28.29, 28.29 degrees
Positions (direct):
1 Sm 0.0000 0.0000 0.0000
2 Ga 0.2373 0.2373 0.2373
3 Ga 0.7627 0.7627 0.7627
4 Cu 0.5000 0.5000 0.5000
5 Pd 0.1299 0.1299 0.1299
6 Pd 0.4009 0.4009 0.4009
7 Pd 0.5991 0.5991 0.5991
8 Pd 0.8701 0.8701 0.8701

Space-group type = R-3m
Formation energy = -614.1 meV/atom
Density of states at the Fermi level = 0.562 states/eV per atom
Total moment = 0.0 Bohr magnetons per cell

=====

Entry 2:
# GaCuSnPd2

A relaxed structure of GaCuSnPd2 (GGA-PBE, Alexandria).

Cell lengths 5.0267, 5.0267, 4.8110 Å; angles 90.00, 90.00, 90.00 degrees
Positions (direct):
1 Ga 0.0000 0.0000 0.0000
2 Cu 0.5000 0.5000 0.0000
3 Sn 0.5000 0.5000 0.5000
4 Pd 0.0000 0.5000 0.5000
5 Pd 0.5000 0.0000 0.5000

Space-group type = P4/mmm
Formation energy = 542.7 meV/atom
Density of states at the Fermi level = 0.473 states/eV per atom
Total moment = 0.0 Bohr magnetons per cell

=====

Entry 3:
# SrGaCuPd3

A relaxed structure of SrGaCuPd3 (GGA-PBE, Alexandria).

Cell lengths 6.8973, 6.8973, 5.8923 Å; angles 90.00, 90.00, 121.79 degrees
Positions (direct):
1 Sr 0.2158 0.7842 0.7500
2 Sr 0.7842 0.2158 0.2500
3 Ga 0.1295 0.8705 0.2500
4 Ga 0.8705 0.1295 0.7500
5 Cu 0.4552 0.5448 0.7500
6 Cu 0.5448 0.4552 0.2500
7 Pd 0.2073 0.2073 0.0000
8 Pd 0.2073 0.2073 0.5000
9 Pd 0.3343 0.6657 0.2500
10 Pd 0.6657 0.3343 0.7500
11 Pd 0.7927 0.7927 0.0000
12 Pd 0.7927 0.7927 0.5000

Space-group type = Cmcm
Formation energy = -379.1 meV/atom
Density of states at the Fermi level = 0.249 states/eV per atom
Total moment = 0.0 Bohr magnetons per cell

=====

Entry 4:
# Sr2GaCu6Pd

A relaxed structure of Sr2GaCu6Pd (GGA-PBE, Alexandria).

Cell lengths 6.6963, 6.6963, 6.6908 Å; angles 119.87, 119.87, 90.12 degrees
Positions (direct):
1 Sr 0.2499 0.7501 0.0000
2 Sr 0.7501 0.2499 0.0000
3 Ga 0.0000 0.0000 0.5000
4 Cu 0.2457 0.2457 0.4999
5 Cu 0.2458 0.2458 0.9914
6 Cu 0.2457 0.7543 0.5000
7 Cu 0.7543 0.2457 0.5000
8 Cu 0.7542 0.7542 0.0086
9 Cu 0.7543 0.7543 0.5001
10 Pd 0.5000 0.5000 0.5000

Space-group type = C2/m
Formation energy = 88.9 meV/atom
Density of states at the Fermi level = 0.482 states/eV per atom
Total moment = 0.0 Bohr magnetons per cell

=====

Entry 5:
# Sr2GaCu2Pd5

A relaxed structure of Sr2GaCu2Pd5 (GGA-PBE, Alexandria).

Cell lengths 9.8354, 9.8354, 3.7815 Å; angles 90.00, 90.00, 90.00 degrees
Positions (direct):
1 Sr 0.1758 0.3242 0.0000
2 Sr 0.3242 0.8242 0.0000
3 Sr 0.6758 0.1758 0.0000
4 Sr 0.8242 0.6758 0.0000
5 Ga 0.0000 0.0000 0.0000
6 Ga 0.5000 0.5000 0.0000
7 Cu 0.1238 0.6238 0.0000
8 Cu 0.3762 0.1238 0.0000
9 Cu 0.6238 0.8762 0.0000
10 Cu 0.8762 0.3762 0.0000
11 Pd 0.0000 0.5000 0.5000
12 Pd 0.0605 0.8004 0.5000
13 Pd 0.1996 0.0605 0.5000
14 Pd 0.3004 0.5605 0.5000
15 Pd 0.4395 0.3004 0.5000
16 Pd 0.5000 0.0000 0.5000
17 Pd 0.5605 0.6996 0.5000
18 Pd 0.6996 0.4395 0.5000
19 Pd 0.8004 0.9395 0.5000
20 Pd 0.9395 0.1996 0.5000

Space-group type = P4/mbm
Formation energy = -453.3 meV/atom
Density of states at the Fermi level = 0.383 states/eV per atom
Total moment = 0.0 Bohr magnetons per cell

=====

Entry 6:
# Sr2Ga3Cu4Pd

A relaxed structure of Sr2Ga3Cu4Pd (GGA-PBE, Alexandria).

Cell lengths 4.3146, 4.3146, 10.3414 Å; angles 90.00, 90.00, 90.00 degrees
Positions (direct):
1 Sr 0.0000 0.5000 0.2482
2 Sr 0.5000 0.0000 0.7518
3 Ga 0.0000 0.0000 0.0000
4 Ga 0.0000 0.5000 0.6190
5 Ga 0.5000 0.0000 0.3810
6 Cu 0.0000 0.0000 0.5000
7 Cu 0.0000 0.5000 0.8630
8 Cu 0.5000 0.0000 0.1370
9 Cu 0.5000 0.5000 0.5000
10 Pd 0.5000 0.5000 0.0000

Space-group type = P-4m2
Formation energy = -297.7 meV/atom
Density of states at the Fermi level = 0.420 states/eV per atom
Total moment = 0.0 Bohr magnetons per cell

=====

Entry 7:
# Sr2Ga3Cu12Pd

A relaxed structure of Sr2Ga3Cu12Pd (GGA-PBE, Alexandria).

Cell lengths 9.9327, 9.9327, 9.9327 Å; angles 36.82, 36.82, 36.82 degrees
Positions (direct):
1 Sr 0.1522 0.1522 0.1522
2 Sr 0.8478 0.8478 0.8478
3 Ga 0.0000 0.5000 0.5000
4 Ga 0.5000 0.0000 0.5000
5 Ga 0.5000 0.5000 0.0000
6 Cu 0.0810 0.0810 0.6937
7 Cu 0.0810 0.6937 0.0810
8 Cu 0.1561 0.5577 0.5577
9 Cu 0.3063 0.9190 0.9190
10 Cu 0.4423 0.4423 0.8439
11 Cu 0.4423 0.8439 0.4423
12 Cu 0.5577 0.1561 0.5577
13 Cu 0.5577 0.5577 0.1561
14 Cu 0.6937 0.0810 0.0810
15 Cu 0.8439 0.4423 0.4423
16 Cu 0.9190 0.3063 0.9190
17 Cu 0.9190 0.9190 0.3063
18 Pd 0.5000 0.5000 0.5000

Space-group type = R-3m
Formation energy = 66.2 meV/atom
Density of states at the Fermi level = 0.445 states/eV per atom
Total moment = 0.0 Bohr magnetons per cell

=====

Entry 8:
# SrGa2CuPd

A relaxed structure of SrGa2CuPd (GGA-PBE, Alexandria).

Cell lengths 5.9283, 5.9283, 5.9283 Å; angles 135.30, 135.30, 65.07 degrees
Positions (direct):
1 Sr 0.0000 0.0000 0.0000
2 Ga 0.3642 0.3642 0.0000
3 Ga 0.6358 0.6358 0.0000
4 Cu 0.2500 0.7500 0.5000
5 Pd 0.7500 0.2500 0.5000

Space-group type = I-4m2
Formation energy = -492.5 meV/atom
Density of states at the Fermi level = 0.594 states/eV per atom
Total moment = 0.0 Bohr magnetons per cell